# Fe2AsCl8 | the Alexandria database | GGA-PBE | optimized geometry
# Raw formation energy: -0.682 eV per atom
# Crystal system: monoclinic
# Uncorrected energy: -3.986 eV per atom
data_Fe2AsCl8
_chemical_formula_sum 'Fe4 As2 Cl16'
_cell_length_a 15.274
_cell_length_b 7.449
_cell_length_c 6.226
_cell_angle_alpha 90.00
_cell_angle_beta 91.71
_cell_angle_gamma 90.00
_space_group_name_H-M_alt 'C 1 2/m 1'
_space_group_IT_number 12
loop_
_space_group_symop_operation_xyz
'x,y,z'
'-x,-y,-z'
'-x,y,-z'
'x,-y,z'
'x+1/2,y+1/2,z'
'-x+1/2,-y+1/2,-z'
'-x+1/2,y+1/2,-z'
'x+1/2,-y+1/2,z'
loop_
_atom_site_label
_atom_site_fract_x
_atom_site_fract_y
_atom_site_fract_z
_atom_site_occupancy
Fe1 0.154 0.000 0.422 1
As1 0.000 0.000 0.000 1
Cl1 0.074 0.223 0.248 1
Cl2 0.139 0.000 0.782 1
Cl3 0.210 0.500 0.662 1